A relaxed structure of KMo2Br. Source: the Alexandria database, functional PBE-GGA.

Cell lengths 10.5713, 10.5713, 10.5713 Å; angles 16.36, 16.36, 16.36 degrees
With the nearest neighbours (Å) after each atom.
Atoms (fractional coordinates):
K1 0.7500 0.7500 0.7500  6 K 3.01
Mo1 0.5162 0.5162 0.5162  3 Br 2.73, 6 Mo 3.01
Mo2 0.9838 0.9838 0.9838  3 Br 2.73, 6 Mo 3.01
Br1 0.2500 0.2500 0.2500  6 Mo 2.73, 6 Br 3.01

Excess energy over the best structure of this formula in the dataset   958.3 meV/atom
Formation energy (no corrections)   1.2074 eV per atom
M_tot   0.000 μB per atom


A relaxed structure of Sm5Tl8In. Source: the Alexandria database, functional PBE-GGA.

Cell lengths 8.1597, 8.1597, 8.1597 Å; angles 108.48, 111.47, 108.48 degrees
With the nearest neighbours (Å) after each atom.
Atoms (fractional coordinates):
Tl1 0.1507 0.7630 0.5645  1 In 3.13, 5 Sm 3.20-3.30, 1 Tl 3.31
Tl2 0.4355 0.5862 0.1985  1 In 3.13, 5 Sm 3.20-3.30, 1 Tl 3.31
Tl3 0.2722 0.2412 0.3734  1 In 3.24, 5 Sm 3.26-3.40, 2 Tl 3.31-3.53
Tl4 0.1322 0.7588 0.0310  1 In 3.24, 5 Sm 3.26-3.40, 2 Tl 3.31-3.53
Tl5 0.8015 0.2370 0.3877  1 In 3.13, 5 Sm 3.20-3.30, 1 Tl 3.31
Tl6 0.6266 0.8989 0.8678  1 In 3.24, 5 Sm 3.26-3.40, 2 Tl 3.31-3.53
Tl7 0.6123 0.4138 0.8493  1 In 3.13, 5 Sm 3.20-3.30, 1 Tl 3.31
Tl8 0.9690 0.1011 0.7278  1 In 3.24, 5 Sm 3.26-3.40, 2 Tl 3.31-3.53
Sm1 0.5000 0.0000 0.5000  8 Tl 3.22-3.26
Sm2 0.8710 0.8518 0.2515  8 Tl 3.20-3.40
Sm3 0.9808 0.3804 0.1290  8 Tl 3.20-3.40
Sm4 0.3996 0.1482 0.0192  8 Tl 3.20-3.40
Sm5 0.7485 0.6196 0.6004  8 Tl 3.20-3.40
In1 0.2500 0.5000 0.7500  8 Tl 3.13-3.24

M_tot   0.000 μB per atom
E   -0.25215 Ry per atom


A relaxed structure of Rb2Ac2F7. Source: the Alexandria database, functional PBE-GGA.

Cell lengths 8.8884, 8.8884, 8.8884 Å; angles 60.00, 60.00, 60.00 degrees
With the nearest neighbours (Å) after each atom.
Atoms (fractional coordinates):
F1 0.2147 0.2147 0.7853  2 Ac 2.49
F2 0.7500 0.7500 0.7500  4 Rb 2.72
F3 0.2147 0.7853 0.2147  2 Ac 2.49
F4 0.0353 0.4647 0.0353  2 Ac 2.49
F5 0.7853 0.2147 0.2147  2 Ac 2.49
F6 0.4647 0.0353 0.0353  2 Ac 2.49
F7 0.7853 0.2147 0.7853  2 Ac 2.49
F8 0.0353 0.0353 0.4647  2 Ac 2.49
F9 0.4647 0.0353 0.4647  2 Ac 2.49
F10 0.0353 0.4647 0.4647  2 Ac 2.49
F11 0.2147 0.7853 0.7853  2 Ac 2.49
F12 0.7853 0.7853 0.2147  2 Ac 2.49
F13 0.5000 0.5000 0.5000  4 Rb 2.72
F14 0.4647 0.4647 0.0353  2 Ac 2.49
Rb1 0.6250 0.1250 0.6250  8 F 2.72-3.00
Rb2 0.6250 0.6250 0.1250  8 F 2.72-3.00
Rb3 0.6250 0.6250 0.6250  8 F 2.72-3.00
Rb4 0.1250 0.6250 0.6250  8 F 2.72-3.00
Ac1 0.1250 0.1250 0.1250  6 F 2.49
Ac2 0.1250 0.1250 0.6250  6 F 2.49
Ac3 0.6250 0.1250 0.1250  6 F 2.49
Ac4 0.1250 0.6250 0.1250  6 F 2.49

Formation energy (no corrections)   -3.4819 eV per atom
M_tot   0.000 μB per atom


A relaxed structure of EuInGeAu. Source: the Alexandria database, functional PBE-GGA.

Cell lengths 5.0746, 5.0746, 5.0746 Å; angles 60.00, 60.00, 60.00 degrees
With the nearest neighbours (Å) after each atom.
Atoms (fractional coordinates):
Ge1 0.2500 0.2500 0.2500  4 Eu 3.11, 4 In 3.11
In1 0.5000 0.5000 0.5000  4 Ge 3.11, 4 Au 3.11
Eu1 0.0000 0.0000 0.0000  4 Au 3.11, 4 Ge 3.11
Au1 0.7500 0.7500 0.7500  4 In 3.11, 4 Eu 3.11

M_tot   1.740 μB per atom
E   -0.41710 Ry per atom


A relaxed structure of TcTeOs2Au. Source: the Alexandria database, functional PBE-GGA.

Cell lengths 4.8019, 5.0619, 4.8019 Å; angles 90.00, 90.00, 90.00 degrees
With the nearest neighbours (Å) after each atom.
Atoms (fractional coordinates):
Tc1 0.5000 0.5000 0.5000  4 Au 3.40, 8 Os 3.49
Au1 0.0000 0.5000 0.0000  2 Te 2.53
Os1 0.0000 0.0000 0.5000  2 Te 2.40
Os2 0.5000 0.0000 0.0000  2 Te 2.40
Te1 0.0000 0.0000 0.0000  4 Os 2.40, 2 Au 2.53

Formation energy (no corrections)   2.3411 eV per atom
M_tot   0.761 μB per atom


A relaxed structure of NaFe2Au. Source: the Alexandria database, functional PBE-GGA.

Cell lengths 3.8037, 3.8037, 10.0253 Å; angles 79.06, 79.06, 90.00 degrees
With the nearest neighbours (Å) after each atom.
Atoms (fractional coordinates):
Au1 0.7500 0.2500 0.5000  4 Na 2.69, 4 Fe 2.70
Au2 0.0000 0.0000 0.0000  4 Na 2.69, 4 Fe 2.70
Fe1 0.6762 0.1250 0.2500  2 Fe 2.43, 2 Au 2.70
Fe2 0.8750 0.9262 0.7500  2 Fe 2.43, 2 Au 2.70
Fe3 0.0738 0.6250 0.2500  2 Fe 2.43, 2 Au 2.70
Fe4 0.3750 0.3238 0.7500  2 Fe 2.43, 2 Au 2.70
Na1 0.5000 0.5000 0.0000  4 Au 2.69, 4 Fe 2.84
Na2 0.2500 0.7500 0.5000  4 Au 2.69, 4 Fe 2.84

M_tot   1.481 μB per atom
E   -0.35039 Ry per atom


A relaxed structure of PmNd2Sc. Source: the Alexandria database, functional PBE-GGA.

Cell lengths 3.5853, 3.5853, 11.7015 Å; angles 81.19, 81.19, 60.00 degrees
With the nearest neighbours (Å) after each atom.
Atoms (fractional coordinates):
Sc1 0.0000 0.0000 0.0000  6 Nd 3.43, 6 Sc 3.59
Pm1 0.5000 0.5000 0.5000  6 Pm 3.59, 6 Nd 3.66
Nd1 0.2542 0.2542 0.2375  3 Sc 3.43, 6 Nd 3.59, 3 Pm 3.66
Nd2 0.7458 0.7458 0.7625  3 Sc 3.43, 6 Nd 3.59, 3 Pm 3.66

Excess energy over the best structure of this formula in the dataset   46.6 meV/atom
M_tot   0.000 μB per atom


A relaxed structure of Cr2CoTcH. Source: the Alexandria database, functional PBE-GGA.

Cell lengths 3.6714, 3.6714, 3.7564 Å; angles 90.00, 90.00, 90.00 degrees
With the nearest neighbours (Å) after each atom.
Atoms (fractional coordinates):
Cr1 0.0000 0.5000 0.0000  2 H 1.84
Cr2 0.5000 0.0000 0.0000  2 H 1.84
H1 0.0000 0.0000 0.0000  4 Cr 1.84, 2 Tc 1.88
Co1 0.5000 0.5000 0.5000  4 Tc 2.60, 8 Cr 2.63
Tc1 0.0000 0.0000 0.5000  2 H 1.88

Excess energy over the best structure of this formula in the dataset   65.6 meV/atom
M_tot   0.000 μB per atom